DFT (GGA-PBE) results for an optimized crystal structure of K2LaMgF6.

Output
Space group: Fm-3m (225)
Fermi-level density of states (states/eV/cell): 3.3
ΔE_f (raw) (eV per atom): -3.145
E_tot (hartree per atom): -0.18886

POSCAR file:
```
K2LaMgF6
1.0
6.3287 -0.0005 -0.0007
0.0002 6.3287 0.0001
3.1639 3.1641 4.4769
F La K Mg
6 1 2 1
Cartesian
8.0271 8.0268 4.4757
8.0269 4.6294 4.4762
3.1636 3.1638 2.4018
6.3292 6.3285 2.0745
1.4659 4.8629 0.0001
1.4658 1.4655 0.0005
3.1645 3.1641 -0.0003
6.3290 3.1636 2.2379
3.1639 6.3287 2.2383
0.0000 0.0000 0.0000
```